# 1
Material: Ag2Te2I
Method: DFT, GGA-PBE
State: relaxed

a b c (Å): 7.156 7.946 7.151
angles (deg): 104.79 83.91 56.57
Fractional positions:
Ag  0.265  0.791  0.430
Ag  0.862  0.710  0.943
Ag  0.138  0.290  0.057
Ag  0.735  0.209  0.570
Te  0.377  0.861  0.067
Te  0.705  0.359  0.235
Te  0.623  0.139  0.933
Te  0.295  0.641  0.765
I  0.888  0.749  0.362
I  0.112  0.251  0.638

Results
Volume: 31.24 Å³/atom
E_form (uncorrected): -0.078 eV per atom
Polymorph energy (0 for the lowest one): 0.000 eV per atom


# 2
Material: AgPt2Br
Method: DFT, GGA-PBE
State: relaxed

a b c (Å): 5.846 5.846 5.846
angles (deg): 151.75 130.05 58.38
Fractional positions:
Br  0.250  0.750  0.500
Ag  0.750  0.250  0.500
Pt  0.000  0.000  0.000
Pt  0.500  0.500  0.000

Results
Volume: 17.97 Å³/atom
E_form (uncorrected): 0.425 eV per atom
Polymorph energy (0 for the lowest one): 0.224 eV per atom


# 3
Material: Pr3HoC
Method: DFT, GGA-PBE
State: relaxed

a b c (Å): 5.273 5.273 5.273
angles (deg): 90.00 90.00 90.00
Fractional positions:
Pr  0.000  0.500  0.000
Pr  0.000  0.000  0.500
Pr  0.500  0.000  0.000
C  0.000  0.000  0.000
Ho  0.500  0.500  0.500

Results
Calculated formation energy: 124 meV per atom
Volume: 29.32 Å³/atom


# 4
Material: ZnInMo2
Method: DFT, GGA-PBE
State: relaxed

a b c (Å): 4.545 4.545 4.545
angles (deg): 60.00 60.00 60.00
Fractional positions:
Mo  0.250  0.250  0.250
Mo  0.750  0.750  0.750
Zn  0.000  0.000  0.000
In  0.500  0.500  0.500

Results
Calculated formation energy: 542 meV per atom
Volume: 16.60 Å³/atom
Polymorph energy (0 for the lowest one): 0.388 eV per atom


# 5
Material: NpSnIr
Method: DFT, GGA-PBE
State: relaxed

a b c (Å): 4.279 7.285 12.425
angles (deg): 89.63 90.00 90.00
Last column: magnetic moment on the atom in μB.
Fractional positions:
Np  0.750  0.522  0.382  -3.51
Np  0.250  0.982  0.711  3.68
Np  0.750  0.018  0.289  3.68
Np  0.750  0.635  0.079  3.81
Np  0.250  0.478  0.618  -3.51
Np  0.250  0.365  0.921  3.81
Sn  0.250  0.984  0.089  -0.01
Sn  0.250  0.847  0.453  0.00
Sn  0.750  0.638  0.790  -0.01
Sn  0.750  0.153  0.547  0.00
Sn  0.250  0.362  0.210  -0.01
Sn  0.750  0.016  0.911  -0.01
Ir  0.250  0.766  0.907  -0.13
Ir  0.750  0.271  0.755  -0.09
Ir  0.750  0.755  0.577  0.11
Ir  0.750  0.234  0.093  -0.13
Ir  0.250  0.245  0.423  0.11
Ir  0.250  0.729  0.245  -0.09

Results
Calculated formation energy: -285 meV per atom
Volume: 21.52 Å³/atom


# 6
Material: BaCa2MgAu4
Method: DFT, GGA-PBE
State: relaxed

a b c (Å): 5.025 5.025 10.023
angles (deg): 75.48 75.48 60.00
Fractional positions:
Ba  0.000  0.000  0.000
Ca  0.766  0.766  0.702
Ca  0.234  0.234  0.298
Mg  0.500  0.500  0.500
Au  0.402  0.402  0.794
Au  0.870  0.870  0.389
Au  0.130  0.130  0.611
Au  0.598  0.598  0.206

Results
Calculated formation energy: -688 meV per atom
Volume: 26.23 Å³/atom


# 7
Material: YAg2Sb
Method: DFT, GGA-PBE
State: relaxed

a b c (Å): 3.347 4.205 6.608
angles (deg): 90.00 90.00 90.00
Fractional positions:
Ag  0.000  0.000  0.035
Ag  0.500  0.500  0.214
Sb  0.000  0.000  0.502
Y  0.500  0.500  0.749

Results
Volume: 23.25 Å³/atom
E_form (uncorrected): -0.251 eV per atom


# 8
Material: SrPm6Pr8
Method: DFT, GGA-PBE
State: relaxed

a b c (Å): 8.498 8.498 8.498
angles (deg): 72.32 72.32 72.32
Fractional positions:
Sr  0.000  0.000  0.000
Pm  0.171  0.430  0.619
Pm  0.381  0.829  0.570
Pm  0.570  0.381  0.829
Pm  0.430  0.619  0.171
Pm  0.619  0.171  0.430
Pm  0.829  0.570  0.381
Pr  0.143  0.613  0.944
Pr  0.056  0.857  0.387
Pr  0.387  0.056  0.857
Pr  0.766  0.766  0.766
Pr  0.234  0.234  0.234
Pr  0.613  0.944  0.143
Pr  0.944  0.143  0.613
Pr  0.857  0.387  0.056

Results
Calculated formation energy: 175 meV per atom
Volume: 36.12 Å³/atom


# 9
Material: PmAlTeO6
Method: DFT, GGA-PBE
State: relaxed

a b c (Å): 5.099 5.099 10.207
angles (deg): 90.00 90.00 120.00
Fractional positions:
Pm  0.000  0.000  0.000
Pm  0.000  0.000  0.500
Al  0.667  0.333  0.250
Al  0.333  0.667  0.750
Te  0.333  0.667  0.250
Te  0.667  0.333  0.750
O  0.630  0.628  0.144
O  0.997  0.370  0.144
O  0.370  0.997  0.644
O  0.003  0.630  0.856
O  0.372  0.370  0.356
O  0.997  0.628  0.356
O  0.628  0.997  0.856
O  0.630  0.003  0.356
O  0.003  0.372  0.644
O  0.372  0.003  0.144
O  0.628  0.630  0.644
O  0.370  0.372  0.856

Results
Volume: 12.77 Å³/atom
E_form (uncorrected): -2.346 eV per atom


# 10
Material: CaSnBiO6
Method: DFT, GGA-PBE
State: relaxed

a b c (Å): 5.596 5.596 9.834
angles (deg): 90.00 90.00 120.00
Last column: magnetic moment on the atom in μB.
Fractional positions:
Ca  0.000  0.000  0.000  0.00
Ca  0.000  0.000  0.500  0.00
Sn  0.667  0.333  0.250  -0.02
Sn  0.333  0.667  0.750  -0.02
Bi  0.333  0.667  0.250  -0.02
Bi  0.667  0.333  0.750  -0.02
O  0.645  0.639  0.135  0.14
O  0.994  0.355  0.135  0.14
O  0.355  0.994  0.635  0.14
O  0.006  0.645  0.865  0.14
O  0.361  0.355  0.365  0.14
O  0.994  0.639  0.365  0.14
O  0.639  0.994  0.865  0.14
O  0.645  0.006  0.365  0.14
O  0.006  0.361  0.635  0.14
O  0.361  0.006  0.135  0.14
O  0.639  0.645  0.635  0.14
O  0.355  0.361  0.865  0.14

Results
Volume: 14.82 Å³/atom
E_form (uncorrected): -1.449 eV per atom


# 11
Material: Pr3Mn2Ni9
Method: DFT, GGA-PBE
State: relaxed

a b c (Å): 4.049 7.861 7.861
angles (deg): 70.37 75.08 75.08
Last column: magnetic moment on the atom in μB.
Fractional positions:
Pr  0.000  0.000  0.000  -0.07
Pr  0.699  0.301  0.301  -0.03
Pr  0.301  0.699  0.699  -0.03
Mn  0.500  0.292  0.708  3.35
Mn  0.500  0.708  0.292  3.35
Ni  0.000  0.500  0.500  0.33
Ni  0.681  0.978  0.660  0.21
Ni  0.319  0.022  0.340  0.21
Ni  0.681  0.660  0.978  0.21
Ni  0.319  0.340  0.022  0.21
Ni  0.885  0.836  0.393  0.23
Ni  0.115  0.164  0.607  0.23
Ni  0.885  0.393  0.836  0.23
Ni  0.115  0.607  0.164  0.23

Results
Calculated formation energy: -145 meV per atom
Volume: 15.98 Å³/atom


# 12
Material: DyGa2CuPt4
Method: DFT, GGA-PBE
State: relaxed

a b c (Å): 4.336 4.336 8.652
angles (deg): 75.49 75.49 60.00
Fractional positions:
Dy  0.000  0.000  0.000
Ga  0.758  0.758  0.726
Ga  0.242  0.242  0.274
Cu  0.500  0.500  0.500
Pt  0.399  0.399  0.803
Pt  0.870  0.870  0.391
Pt  0.130  0.130  0.609
Pt  0.601  0.601  0.197

Results
Calculated formation energy: -709 meV per atom
Volume: 16.85 Å³/atom


# 13
Material: MnCrCoSb
Method: DFT, GGA-PBE
State: relaxed

a b c (Å): 4.239 4.239 4.239
angles (deg): 60.00 60.00 60.00
Last column: magnetic moment on the atom in μB.
Fractional positions:
Sb  0.750  0.750  0.750  0.01
Mn  0.000  0.000  0.000  -0.53
Co  0.500  0.500  0.500  1.06
Cr  0.250  0.250  0.250  2.40

Results
Volume: 13.46 Å³/atom
E_form (uncorrected): 0.132 eV per atom


# 14
Material: LiAgI2O
Method: DFT, GGA-PBE
State: relaxed

a b c (Å): 5.795 5.795 4.097
angles (deg): 90.00 90.00 90.00
Last column: magnetic moment on the atom in μB.
Fractional positions:
I  0.000  0.500  0.000  0.04
I  0.500  0.000  0.000  0.04
O  0.000  0.000  0.500  0.53
Ag  0.000  0.000  0.000  0.12
Li  0.500  0.500  0.500  0.00

Results
Volume: 27.52 Å³/atom
E_form (uncorrected): -0.158 eV per atom
Polymorph energy (0 for the lowest one): 0.000 eV per atom


# 15
Material: Sc6CuRu
Method: DFT, GGA-PBE
State: relaxed

a b c (Å): 4.604 4.604 8.594
angles (deg): 74.46 74.46 90.00
Last column: magnetic moment on the atom in μB.
Fractional positions:
Sc  0.753  0.753  0.494  0.10
Sc  0.599  0.099  0.803  0.02
Sc  0.099  0.599  0.803  0.02
Sc  0.401  0.901  0.197  0.02
Sc  0.247  0.247  0.506  0.10
Sc  0.901  0.401  0.197  0.02
Cu  0.500  0.500  0.000  0.00
Ru  0.000  0.000  0.000  0.00

Results
Calculated formation energy: -201 meV per atom
Volume: 21.07 Å³/atom


# 16
Material: TmSc2Nb
Method: DFT, GGA-PBE
State: relaxed

a b c (Å): 3.202 3.202 10.755
angles (deg): 81.44 81.44 60.00
Fractional positions:
Sc  0.258  0.258  0.226
Sc  0.742  0.742  0.774
Nb  0.000  0.000  0.000
Tm  0.500  0.500  0.500

Results
Calculated formation energy: 174 meV per atom
Volume: 23.52 Å³/atom
Polymorph energy (0 for the lowest one): 0.030 eV per atom


# 17
Material: KTeRh2
Method: DFT, GGA-PBE
State: relaxed

a b c (Å): 6.007 6.007 6.007
angles (deg): 150.13 129.73 59.58
Fractional positions:
K  0.255  0.755  0.500
Rh  0.966  0.966  0.000
Rh  0.740  0.240  0.500
Te  0.539  0.539  0.000

Results
Volume: 20.59 Å³/atom
E_form (uncorrected): 0.253 eV per atom


# 18
Material: NaLaRe2O8
Method: DFT, GGA-PBE
State: relaxed

a b c (Å): 5.435 5.435 7.036
angles (deg): 112.72 112.72 90.00
Last column: magnetic moment on the atom in μB.
Fractional positions:
Na  0.750  0.250  0.500  0.00
La  0.000  0.000  0.000  0.08
Re  0.500  0.500  0.000  0.67
Re  0.250  0.750  0.500  0.61
O  0.730  0.820  0.149  0.05
O  0.419  0.328  0.149  0.05
O  0.575  0.685  0.658  0.05
O  0.083  0.973  0.658  0.05
O  0.027  0.425  0.342  0.05
O  0.315  0.917  0.342  0.05
O  0.180  0.581  0.851  0.05
O  0.672  0.270  0.851  0.05

Results
Volume: 14.51 Å³/atom
E_form (uncorrected): -2.014 eV per atom


# 19
Material: Pa8Tc6Pb
Method: DFT, GGA-PBE
State: relaxed

a b c (Å): 7.189 7.189 7.189
angles (deg): 89.77 89.77 89.77
Fractional positions:
Pa  0.759  0.759  0.759
Pa  0.241  0.241  0.241
Pa  0.617  0.925  0.272
Pa  0.925  0.272  0.617
Pa  0.272  0.617  0.925
Pa  0.383  0.075  0.728
Pa  0.075  0.728  0.383
Pa  0.728  0.383  0.075
Tc  0.603  0.413  0.758
Tc  0.413  0.758  0.603
Tc  0.758  0.603  0.413
Tc  0.397  0.587  0.242
Tc  0.587  0.242  0.397
Tc  0.242  0.397  0.587
Pb  0.000  0.000  0.000

Results
Calculated formation energy: 63 meV per atom
Volume: 24.77 Å³/atom


# 20
Material: LiTa3Ti
Method: DFT, GGA-PBE
State: relaxed

a b c (Å): 4.746 4.746 4.746
angles (deg): 90.00 90.00 90.00
Fractional positions:
Ti  0.000  0.000  0.000
Li  0.500  0.500  0.500
Ta  0.000  0.500  0.000
Ta  0.000  0.000  0.500
Ta  0.500  0.000  0.000

Results
Calculated formation energy: 1479 meV per atom
Volume: 21.38 Å³/atom
Polymorph energy (0 for the lowest one): 0.393 eV per atom